Entry from the Alexandria database: a relaxed Tl2FeOs crystal (PBE).

Polymorph energy (0 for the lowest one) (eV/atom): 0.4001
Calculated volume (A^3/atom): 18.6
Raw total energy (eV/atom): -5.16
Calculated formation energy (meV/atom): 946

Cell lengths 4.749, 3.191, 5.267 Å; angles 90.00, 111.39, 90.00 degrees
Space group P2/m (No. 10)
Inequivalent atoms, fractional coordinates:
Tl (0.000, 0.000, 0.000)
Tl (0.000, 0.500, 0.500)
Fe (0.500, 0.000, 0.500)
Os (0.500, 0.500, 0.000)